*a*
Entry from the Alexandria database: a geometry-optimized LaEuRh2 structure (GGA-PBE).

Results
crystal system: tetragonal
symmetry: P4/mmm (123)

Cell: 3.5849 3.5849 7.0240 Å, 90.00 90.00 90.00°
Each line ends with the local moment (μB).
Atoms (fractional coordinates):
Rh  0.0000  0.0000  0.7659  -0.08
Rh  0.0000  0.0000  0.2341  -0.08
La  0.5000  0.5000  0.0000  0.01
Eu  0.5000  0.5000  0.5000  6.74



*b*
Entry from the Alexandria database: a geometry-optimized LaEuRh2 structure (GGA-PBE).

Results
crystal system: cubic
symmetry: Fm-3m (225)

Cell: 5.0250 5.0250 5.0250 Å, 60.00 60.00 60.00°
Each line ends with the local moment (μB).
Atoms (fractional coordinates):
Eu  0.5000  0.5000  0.5000  6.71
Rh  0.7500  0.7500  0.7500  -0.10
Rh  0.2500  0.2500  0.2500  -0.10
La  0.0000  0.0000  0.0000  0.03



Top of the stability list: *a*, leading by 6 meV per atom.